1.
Material: Pm2Er2Mg3
Method: DFT, PBE-GGA
State: relaxed

Output
VASP energy: -23.2 eV for the cell shown
size of the total moment: 0.00 μB/cell
formation energy: 0.3 eV/f.u.

Lattice parameters (Å, degrees): 12.2532 12.2532 3.3274 90.00 90.00 156.47
Fractional coordinates of all 7 atoms:
Pm1 0.0732 0.9268 0.0000
Pm2 0.9268 0.0732 0.0000
Er1 0.2085 0.7915 0.0000
Er2 0.7915 0.2085 0.0000
Mg1 0.3491 0.6509 0.5000
Mg2 0.5000 0.5000 0.5000
Mg3 0.6509 0.3491 0.5000

---

2.
Material: PmEr5Mg2
Method: DFT, PBE-GGA
State: relaxed

Output
VASP energy: -30.5 eV for the cell shown
size of the total moment: 0.00 μB/cell
formation energy: 0.3 eV/f.u.

Lattice parameters (Å, degrees): 8.5486 8.5486 8.5486 156.81 102.72 81.99
Fractional coordinates of all 8 atoms:
Pm1 0.0000 0.0000 0.0000
Er1 0.1383 0.3681 0.7702
Er2 0.4021 0.6319 0.7702
Er3 0.5000 0.0000 0.5000
Er4 0.5979 0.3681 0.2298
Er5 0.8617 0.6319 0.2298
Mg1 0.2443 0.7443 0.5000
Mg2 0.7557 0.2557 0.5000

---

3.
Material: Pm3Er2Mg8
Method: DFT, PBE-GGA
State: relaxed

Output
VASP energy: -34.7 eV for the cell shown
size of the total moment: 0.01 μB/cell
formation energy: 1.5 eV/f.u.

Lattice parameters (Å, degrees): 12.9493 12.9493 12.9493 26.08 26.08 26.08
Fractional coordinates of all 13 atoms:
Pm1 0.0000 0.0000 0.0000
Pm2 0.1831 0.1831 0.1831
Pm3 0.8169 0.8169 0.8169
Er1 0.3594 0.3594 0.3594
Er2 0.6406 0.6406 0.6406
Mg1 0.2312 0.7327 0.7327
Mg2 0.2673 0.2673 0.7688
Mg3 0.2673 0.7688 0.2673
Mg4 0.2754 0.2754 0.2754
Mg5 0.7246 0.7246 0.7246
Mg6 0.7327 0.2312 0.7327
Mg7 0.7327 0.7327 0.2312
Mg8 0.7688 0.2673 0.2673

---

4.
Material: Pm2Er3Mg2
Method: DFT, PBE-GGA
State: relaxed

Output
VASP energy: -26.1 eV for the cell shown
size of the total moment: 0.00 μB/cell
formation energy: 0.2 eV/f.u.

Lattice parameters (Å, degrees): 17.2689 17.2689 3.4773 90.00 90.00 168.35
Fractional coordinates of all 7 atoms:
Pm1 0.2045 0.7955 0.0000
Pm2 0.7955 0.2045 0.0000
Er1 0.0712 0.9288 0.0000
Er2 0.5000 0.5000 0.5000
Er3 0.9288 0.0712 0.0000
Mg1 0.3637 0.6363 0.5000
Mg2 0.6363 0.3637 0.5000

---

5.
Material: Pm2ErMg
Method: DFT, PBE-GGA
State: relaxed

Output
E above lowest polymorph: 0 meV/atom
VASP energy: -15.8 eV for the cell shown
size of the total moment: 0.00 μB/cell
formation energy: -0.1 eV/f.u.

Lattice parameters (Å, degrees): 3.6955 3.6955 9.0100 90.00 90.00 90.00
Fractional coordinates of all 4 atoms:
Pm1 0.0000 0.0000 0.2315
Pm2 0.0000 0.0000 0.7685
Er1 0.5000 0.5000 0.5000
Mg1 0.5000 0.5000 0.0000

---

6.
Material: PmEr2Mg
Method: DFT, PBE-GGA
State: relaxed

Output
E above lowest polymorph: 123 meV/atom
VASP energy: -15.1 eV for the cell shown
size of the total moment: 0.01 μB/cell
formation energy: 0.4 eV/f.u.

Lattice parameters (Å, degrees): 5.5086 5.5086 5.5086 60.00 60.00 60.00
Fractional coordinates of all 4 atoms:
Pm1 0.0000 0.0000 0.0000
Er1 0.2500 0.2500 0.2500
Er2 0.7500 0.7500 0.7500
Mg1 0.5000 0.5000 0.5000